[1]
This record from Alexandria via LeMat-Bulk describes a relaxed MgW2Se crystal. The functional is GGA-PBE.

Calculated values
- DOS at the Fermi energy (states/eV/atom) = 0.499
- final energy (eV/atom) = -7.193
- formation energy from raw total energies (eV/f.u.) = 2.21

Cell lengths 4.5685, 4.5685, 4.5685 Å; angles 60.00, 60.00, 60.00 degrees
With the nearest neighbours (Å) after each atom.
Fractional positions:
1 Mg 0.0000 0.0000 0.0000  4 W 2.80, 4 Se 2.80
2 W 0.5000 0.5000 0.5000  4 W 2.80, 4 Se 2.80
3 W 0.7500 0.7500 0.7500  4 W 2.80, 4 Mg 2.80
4 Se 0.2500 0.2500 0.2500  4 W 2.80, 4 Mg 2.80

---

[2]
This record from Alexandria via LeMat-Bulk describes a relaxed MgW2Se crystal. The functional is GGA-PBE.

Calculated values
- DOS at the Fermi energy (states/eV/atom) = 0.667
- final energy (eV/atom) = -7.483
- formation energy from raw total energies (eV/f.u.) = 1.05

Cell lengths 3.3048, 3.3048, 6.2974 Å; angles 90.00, 90.00, 90.00 degrees
With the nearest neighbours (Å) after each atom.
Fractional positions:
1 Mg 0.0000 0.0000 0.0000  4 Se 2.86, 5 W 2.89-3.06
2 W 0.0000 0.0000 0.5139  4 W 2.70, 4 Se 2.82
3 W 0.5000 0.5000 0.7290  4 W 2.70, 4 Mg 2.89, 1 Se 2.93
4 Se 0.5000 0.5000 0.2630  5 W 2.82-2.93, 4 Mg 2.86

---

[3]
This record from Alexandria via LeMat-Bulk describes a relaxed MgWSe2 crystal. The functional is GGA-PBE.

Calculated values
- DOS at the Fermi energy (states/eV/atom) = 0.721
- final energy (eV/atom) = -5.104
- formation energy from raw total energies (eV/f.u.) = 1.10

Cell lengths 5.1079, 5.1079, 3.5143 Å; angles 110.01, 110.01, 92.80 degrees
With the nearest neighbours (Å) after each atom.
Fractional positions:
1 Mg 0.0000 0.0000 0.0000  4 Se 2.56
2 W 0.5000 0.5000 0.0000  4 Se 2.56
3 Se 0.0000 0.5000 0.5000  2 W 2.56, 2 Mg 2.56
4 Se 0.5000 0.0000 0.5000  2 W 2.56, 2 Mg 2.56